[1]
First-principles (PBE) data for a relaxed SrEr2Tl crystal, as listed in the Alexandria database.

Properties
**Energy above the lowest structure with this stoichiometry**: 180 meV per atom
**ΔH_f (0 K)**: 0.146 eV per atom

Cell lengths 3.6757, 3.6757, 35.7661 Å; angles 90.00, 90.00, 120.00 degrees
Space group R-3m (No. 166, hexagonal axes)
Inequivalent atoms, fractional coordinates:
Sr 0.0000 0.0000 0.0000
Er 0.0000 0.0000 0.0996
Tl 0.0000 0.0000 0.5000

[2]
First-principles (PBE) data for a relaxed VCu2Pb crystal, as listed in the Alexandria database.

Properties
**ΔH_f (0 K)**: 0.607 eV per atom

Cell lengths 7.245, 7.245, 5.459 Å; angles 90.00, 90.00, 90.00 degrees
Space group I-42d (No. 122)
Inequivalent atoms, fractional coordinates:
V 0.000 0.000 0.000
Cu 0.230 0.750 0.125
Pb 0.000 0.000 0.500